--- i ---
Below is crystalline Ca2HPtAu at its relaxed geometry, with properties calculated at the PBE level.

Results
Magnetic moment in μB/atom: 0.000

```
5
Lattice="4.9863 0.0000 0.0000 0.0000 4.9863 0.0000 0.0000 0.0000 3.7546" Properties=species:S:1:pos:R:3 pbc="T T T"
H 0.0000 0.0000 0.0000
Ca 0.0000 2.4931 0.0000
Ca 2.4931 0.0000 0.0000
Au 0.0000 0.0000 1.8773
Pt 2.4931 2.4931 1.8773
```

=====

--- ii ---
Below is crystalline Ca2HPtAu at its relaxed geometry, with properties calculated at the PBE level.

Results
Magnetic moment in μB/atom: 0.000

```
5
Lattice="-1.2163 4.9780 -0.3534 -3.9962 -1.1894 -3.0001 -2.0795 -0.3030 2.8901" Properties=species:S:1:pos:R:3 pbc="T T T"
H 0.0000 0.0000 0.0000
Ca -1.9981 -0.5947 -1.5001
Ca -0.6082 2.4890 -0.1767
Au -3.6460 1.7428 -0.2317
Pt -1.0398 -0.1515 1.4450
```

=====

What should be chosen as the least stable of them? Choose i.